[1]
{"formula": "Y6SbTe3As2", "functional": "PBE", "state": "optimized geometry", "lattice_angstrom": [[-2.339, 2.198, -2.801], [5.165, -2.673, -6.409], [-5.557, -7.673, 1.857]], "species": ["Y", "Y", "Y", "Y", "Y", "Y", "Sb", "Te", "Te", "Te", "As", "As"], "frac_coords": [[0.332, 0.889, 0.664], [0.675, 0.567, 0.350], [0.668, 0.111, 0.336], [0.011, 0.251, 0.023], [0.989, 0.749, 0.977], [0.325, 0.433, 0.650], [0.500, 0.000, 0.000], [0.500, 0.500, 0.000], [0.837, 0.167, 0.674], [0.163, 0.833, 0.326], [0.832, 0.664, 0.664], [0.168, 0.336, 0.336]], "space_group": "C2/m (12)", "dos_at_fermi_per_ev_cell": 4.9, "raw_formation_energy_ev_per_atom": -1.434}


[2]
{"formula": "PmNpSn2", "functional": "PBE", "state": "optimized geometry", "lattice_angstrom": [[-3.136, -1.013, 2.951], [2.221, -4.344, 0.870], [2.699, 2.098, 3.588]], "species": ["Np", "Sn", "Sn", "Pm"], "frac_coords": [[0.500, 0.500, 0.500], [0.000, 0.000, 0.500], [0.000, 0.500, 0.000], [0.500, 0.000, 0.000]], "formation_energy_kcal_per_mol_atoms": -6.00, "space_group": "P4/mmm (123)", "dos_at_fermi_per_ev_cell": 11.2}


[3]
{"formula": "LiLaBIr2", "functional": "PBE", "state": "optimized geometry", "lattice_angstrom": [[4.248, 0.000, 0.000], [0.000, 4.248, 0.000], [0.000, 0.000, 4.449]], "species": ["B", "Ir", "Ir", "Li", "La"], "frac_coords": [[0.000, 0.000, 0.000], [0.000, 0.500, 0.000], [0.500, 0.000, 0.000], [0.000, 0.000, 0.500], [0.500, 0.500, 0.500]], "formation_energy_kcal_per_mol_atoms": -12.60, "space_group": "P4/mmm (123)", "dos_at_fermi_per_ev_cell": 0.7}


[4]
{"formula": "Pm5YPt2", "functional": "PBE", "state": "optimized geometry", "lattice_angstrom": [[4.531, 0.000, 0.000], [2.266, 8.068, 1.160], [2.266, 3.534, 7.345]], "species": ["Pm", "Pm", "Pm", "Pm", "Pm", "Y", "Pt", "Pt"], "frac_coords": [[0.000, 0.500, 0.500], [0.649, 0.592, 0.109], [0.351, 0.408, 0.891], [0.351, 0.891, 0.408], [0.649, 0.109, 0.592], [0.000, 0.000, 0.000], [0.798, 0.702, 0.702], [0.202, 0.298, 0.298]], "formation_energy_kcal_per_mol_atoms": -11.62, "space_group": "Immm (71)", "dos_at_fermi_per_ev_cell": 8.6}


[5]
{"formula": "CoPICl2", "functional": "PBE", "state": "optimized geometry", "lattice_angstrom": [[4.499, 0.000, 0.000], [0.000, 4.499, 0.000], [0.000, 0.000, 5.082]], "species": ["I", "P", "Co", "Cl", "Cl"], "frac_coords": [[0.500, 0.500, 0.500], [0.000, 0.000, 0.500], [0.000, 0.000, 0.000], [0.000, 0.500, 0.000], [0.500, 0.000, 0.000]], "space_group": "P4/mmm (123)", "dos_at_fermi_per_ev_cell": 5.8, "raw_formation_energy_ev_per_atom": 0.207}


Number 1: uncorrected energy -6.570 eV per atom. Number 2: uncorrected energy -6.684 eV per atom. Number 3: uncorrected energy -6.795 eV per atom. Number 4: uncorrected energy -5.791 eV per atom. Number 5: uncorrected energy -3.345 eV per atom.